Record 1
VASP calculation (PBE-GGA) on a geometry-optimized PrY2ReN4 structure.

```
16
Lattice="-0.5123 -2.9604 -1.7726 6.0086 0.2450 1.2868 -1.9153 -5.6703 10.0234" Properties=species:S:1:pos:R:3 pbc="T T T"
Pr -0.0929 -4.5412 7.6111
Pr 3.6740 -3.8445 1.9264
Y 3.2092 -3.9695 5.7019
Y 1.1786 -2.0279 -0.3863
Y 0.3719 -4.4162 3.8356
Y 2.4025 -6.3578 9.9238
Re 2.3825 -6.6080 6.9149
Re 1.1985 -1.7777 2.6226
N 2.7783 -1.3711 1.4870
N 1.2725 -5.6238 5.5921
N 0.8028 -7.0146 8.0505
N 2.3085 -2.7619 3.9454
N -0.9576 -2.8351 5.0117
N 0.0000 0.0000 0.0000
N 3.5771 -5.3292 7.8665
N 0.0040 -3.0565 1.6710
```

E: -8.946 eV/atom



Record 2
VASP calculation (PBE-GGA) on a geometry-optimized KHf3Se6 structure.

```
20
Lattice="-3.6508 -0.6170 0.7743 1.0303 -11.2225 -4.0847 2.5216 -0.2392 11.6987" Properties=species:S:1:pos:R:3 pbc="T T T"
K 0.1814 -7.7228 8.5611
K -0.2803 -4.3559 -0.1728
Hf -1.1858 -4.5585 4.6361
Hf 1.0869 -7.5202 3.7522
Hf -1.2364 -8.7278 1.0750
Hf 1.1376 -3.3509 7.3133
Hf 0.3933 -11.4624 6.5801
Hf -0.4922 -0.6164 1.8082
Se -1.1854 -2.4902 6.2864
Se 1.0865 -9.5885 2.1020
Se -2.4714 -2.0132 0.6028
Se 2.3725 -10.0655 7.7855
Se -0.2483 -9.0392 5.4860
Se 0.1494 -3.0395 2.9023
Se -1.2617 -6.5395 2.6997
Se 1.1628 -5.5392 5.6886
Se -0.2072 -4.6091 9.2097
Se 0.1084 -7.4696 -0.8214
Se -1.1526 -11.0851 -0.4080
Se 1.0537 -0.9936 8.7963
```

E: -6.489 eV/atom



Record 3
VASP calculation (PBE-GGA) on a geometry-optimized InAgRu structure.

```
3
Lattice="-3.7239 -4.0634 -0.7722 -1.3336 -5.3118 0.9910 -1.9168 -0.0128 2.5896" Properties=species:S:1:pos:R:3 pbc="T T T"
Ag -1.9276 -0.0448 2.5815
In -2.9332 -3.0426 1.8224
Ru -4.0304 -6.3134 0.9941
```

Energy above the most stable polymorph in this dataset: 0.00 eV per formula unit
ΔE_f: 0.33 eV/atom



Record 4
VASP calculation (PBE-GGA) on a geometry-optimized YZr4Ru structure.

```
6
Lattice="0.0000 4.0800 4.0800 4.0800 0.0000 4.0800 4.0800 4.0800 0.0000" Properties=species:S:1:pos:R:3 pbc="T T T"
Y 0.0000 0.0000 0.0000
Zr 3.0648 5.0953 5.0953
Zr 5.0953 5.0953 3.0648
Zr 5.0953 3.0648 5.0953
Zr 3.0648 3.0648 3.0648
Ru 6.1200 6.1200 6.1200
```

ΔE_f: 0.40 eV/atom